# 1
A geometry-optimized Pm2TlIO8 structure, computed with GGA-PBE.

Energy relative to the elements, uncorrected, eV/atom: -1.6986
Space-group type: P-1 (2)

Cell: 4.9110 4.9225 7.3885 Å, 88.66 88.62 93.96°
Fractional coordinates of all 12 atoms:
Pm  0.4590  0.4601  0.7575
Pm  0.5410  0.5399  0.2425
Tl  0.0000  0.0000  0.5000
I  0.0000  0.0000  0.0000
O  0.1381  0.7789  0.1902
O  0.7190  0.7255  0.9666
O  0.7838  0.1421  0.1913
O  0.8619  0.2211  0.8098
O  0.2810  0.2745  0.0334
O  0.2162  0.8579  0.8087
O  0.6976  0.6993  0.5179
O  0.3024  0.3007  0.4821

---

# 2
A geometry-optimized PmTlIO6 structure, computed with GGA-PBE.

Energy relative to the elements, uncorrected, eV/atom: -1.1896
Space-group type: P-31c (163)

Cell: 5.8534 5.8534 9.6981 Å, 90.00 90.00 120.00°
Fractional coordinates of all 18 atoms:
Pm  0.3333  0.6667  0.2500
Pm  0.6667  0.3333  0.7500
Tl  0.0000  0.0000  0.0000
Tl  0.0000  0.0000  0.5000
I  0.6667  0.3333  0.2500
I  0.3333  0.6667  0.7500
O  0.6554  0.5990  0.1394
O  0.9436  0.3446  0.1394
O  0.3446  0.9436  0.6394
O  0.0564  0.6554  0.8606
O  0.4010  0.3446  0.3606
O  0.9436  0.5990  0.3606
O  0.5990  0.9436  0.8606
O  0.6554  0.0564  0.3606
O  0.0564  0.4010  0.6394
O  0.4010  0.0564  0.1394
O  0.5990  0.6554  0.6394
O  0.3446  0.4010  0.8606

---

# 3
A geometry-optimized PmTm2IO8 structure, computed with GGA-PBE.

Energy relative to the elements, uncorrected, eV/atom: -2.3428
Space-group type: Cmmm (65)

Cell: 4.9981 4.9997 6.8773 Å, 90.00 90.00 89.79°
Fractional coordinates of all 12 atoms:
Pm  0.0000  0.0000  0.5000
Tm  0.5000  0.5000  0.7481
Tm  0.5000  0.5000  0.2519
I  0.0000  0.0000  0.0000
O  0.1843  0.8149  0.2034
O  0.7299  0.7312  0.0000
O  0.8158  0.1851  0.2034
O  0.8157  0.1851  0.7966
O  0.2701  0.2688  0.0000
O  0.1842  0.8149  0.7966
O  0.6823  0.6834  0.5000
O  0.3177  0.3166  0.5000

---

# 4
A geometry-optimized PmTmIO6 structure, computed with GGA-PBE.

Energy relative to the elements, uncorrected, eV/atom: -2.0576
Space-group type: P-31c (163)

Cell: 5.5928 5.5928 9.8782 Å, 90.00 90.00 120.00°
Fractional coordinates of all 18 atoms:
Pm  0.0000  0.0000  0.0000
Pm  0.0000  0.0000  0.5000
Tm  0.3333  0.6667  0.2500
Tm  0.6667  0.3333  0.7500
I  0.6667  0.3333  0.2500
I  0.3333  0.6667  0.7500
O  0.6617  0.6319  0.1373
O  0.9702  0.3383  0.1373
O  0.3383  0.9702  0.6373
O  0.0298  0.6617  0.8627
O  0.3681  0.3383  0.3627
O  0.9702  0.6319  0.3627
O  0.6319  0.9702  0.8627
O  0.6617  0.0298  0.3627
O  0.0298  0.3681  0.6373
O  0.3681  0.0298  0.1373
O  0.6319  0.6617  0.6373
O  0.3383  0.3681  0.8627